Tb8Pr4Dy3 | PBE-GGA | relaxed

Lattice parameters (Å, degrees): 12.5953 12.5953 12.5953 32.25 32.25 32.25
Closest atoms and distances in Å follow each position.
Positions (direct):
Tb 0.2448 0.2448 0.2448  1 Pr 3.29, 3 Dy 3.45, 6 Tb 3.50
Tb 0.2467 0.7494 0.7494  6 Tb 3.48-3.52, 2 Dy 3.55, 3 Pr 3.56-3.64
Tb 0.2506 0.2506 0.7533  6 Tb 3.48-3.52, 2 Dy 3.55, 3 Pr 3.56-3.64
Tb 0.2506 0.7533 0.2506  6 Tb 3.48-3.52, 2 Dy 3.55, 3 Pr 3.56-3.64
Tb 0.7494 0.2467 0.7494  6 Tb 3.48-3.52, 2 Dy 3.55, 3 Pr 3.56-3.64
Tb 0.7494 0.7494 0.2467  6 Tb 3.48-3.52, 2 Dy 3.55, 3 Pr 3.56-3.64
Tb 0.7533 0.2506 0.2506  6 Tb 3.48-3.52, 2 Dy 3.55, 3 Pr 3.56-3.64
Tb 0.7552 0.7552 0.7552  1 Pr 3.29, 3 Dy 3.45, 6 Tb 3.50
Pr 0.0000 0.0000 0.0000  6 Tb 3.64, 6 Pr 4.04
Pr 0.3366 0.3366 0.3366  4 Tb 3.29-3.56
Pr 0.5000 0.5000 0.5000  6 Dy 3.50, 6 Tb 3.56
Pr 0.6634 0.6634 0.6634  4 Tb 3.29-3.56
Dy 0.0000 0.0000 0.5000  6 Tb 3.45-3.55, 2 Pr 3.50, 4 Dy 3.50
Dy 0.0000 0.5000 0.0000  6 Tb 3.45-3.55, 4 Dy 3.50, 2 Pr 3.50
Dy 0.5000 0.0000 0.0000  6 Tb 3.45-3.55, 4 Dy 3.50, 2 Pr 3.50

Output
crystal system	trigonal
formation enthalpy at 0 K	0.11	eV/atom
total magnetization	0.0	Bohr magnetons per cell
density of states at the Fermi level	22.998	states/eV/cell
E	-68.245	eV per cell
volume	33.72	Å³ per atom